Entry 1:
# Na2TiAsO6 PBE relaxed
# SG: P4mm, No. 99
# calculated volume: 128.50 Å³/cell
# DOS(E_F): 0.04 states/eV/atom
# density: 3.42 Mg/m³
# E: -0.233 Ha/atom
# uncorrected formation energy: -1.83 eV per atom
data_Na2TiAsO6
_chemical_formula_sum 'Na2 Ti1 As1 O6'
_symmetry_space_group_name_H-M 'P 1'
_symmetry_Int_Tables_number 1
_cell_length_a 5.051
_cell_length_b 5.051
_cell_length_c 5.037
_cell_angle_alpha 90.00
_cell_angle_beta 90.00
_cell_angle_gamma 90.00
loop_
_symmetry_equiv_pos_as_xyz
'x,y,z'
loop_
_atom_site_label
_atom_site_type_symbol
_atom_site_fract_x
_atom_site_fract_y
_atom_site_fract_z
Na1 Na 0.000 0.500 0.000
Na2 Na 0.500 0.000 0.000
Ti1 Ti 0.000 0.000 0.516
As1 As 0.500 0.500 0.522
O1 O 0.000 0.000 0.177
O2 O 0.261 0.261 0.642
O3 O 0.261 0.739 0.642
O4 O 0.500 0.500 0.185
O5 O 0.739 0.261 0.642
O6 O 0.739 0.739 0.642

Entry 2:
# Hf2TcH4 PBE relaxed
# SG: I4/mmm, No. 139
# calculated volume: 135.27 Å³/cell
# DOS(E_F): 0.33 states/eV/atom
# density: 11.27 Mg/m³
# E: -0.236 Ha/atom
data_Hf2TcH4
_chemical_formula_sum 'Hf4 Tc2 H8'
_symmetry_space_group_name_H-M 'P 1'
_symmetry_Int_Tables_number 1
_cell_length_a 3.443
_cell_length_b 3.443
_cell_length_c 11.414
_cell_angle_alpha 90.00
_cell_angle_beta 90.00
_cell_angle_gamma 90.00
loop_
_symmetry_equiv_pos_as_xyz
'x,y,z'
loop_
_atom_site_label
_atom_site_type_symbol
_atom_site_fract_x
_atom_site_fract_y
_atom_site_fract_z
Hf1 Hf 0.000 0.000 0.158
Hf2 Hf 0.000 0.000 0.842
Hf3 Hf 0.500 0.500 0.342
Hf4 Hf 0.500 0.500 0.658
Tc1 Tc 0.000 0.000 0.500
Tc2 Tc 0.500 0.500 0.000
H1 H 0.000 0.000 0.342
H2 H 0.000 0.000 0.658
H3 H 0.000 0.500 0.000
H4 H 0.000 0.500 0.500
H5 H 0.500 0.000 0.000
H6 H 0.500 0.000 0.500
H7 H 0.500 0.500 0.158
H8 H 0.500 0.500 0.842

Entry 3:
# Tl2SbMo PBE relaxed
# SG: P4/mmm, No. 123
# calculated volume: 96.27 Å³/cell
# DOS(E_F): 1.05 states/eV/atom
# density: 10.81 Mg/m³
# ΔE to the lowest computed polymorph: 1.65 eV/f.u.
# E: -0.154 Ha/atom
# uncorrected formation energy: 0.72 eV per atom
data_Tl2SbMo
_chemical_formula_sum 'Tl2 Sb1 Mo1'
_symmetry_space_group_name_H-M 'P 1'
_symmetry_Int_Tables_number 1
_cell_length_a 3.139
_cell_length_b 3.139
_cell_length_c 9.771
_cell_angle_alpha 90.00
_cell_angle_beta 90.00
_cell_angle_gamma 90.00
loop_
_symmetry_equiv_pos_as_xyz
'x,y,z'
loop_
_atom_site_label
_atom_site_type_symbol
_atom_site_fract_x
_atom_site_fract_y
_atom_site_fract_z
Tl1 Tl 0.000 0.000 0.213
Tl2 Tl 0.000 0.000 0.787
Sb1 Sb 0.500 0.500 0.500
Mo1 Mo 0.500 0.500 0.000